Material: SrY2Pt
Method: DFT, SCAN
State: single point on PBEsol structure

Calculated values
SG = No. 47
formation enthalpy at 0 K = -24.37 kJ per mole of atoms
E_tot = -37.291 eV/atom

abc: 4.313 4.790 4.974
angles: 90.00 90.00 90.00
Element x y z (fractional)
Pt 0.500 0.500 0.000
Y 0.000 0.000 0.000
Y 0.500 0.000 0.500
Sr 0.000 0.500 0.500